Record 1
Density functional theory data (PBE) for RbSrUI6 after structural relaxation.

The structure in POSCAR format:
```
RbSrUI6
1.0
8.346 0.000 0.000
-4.173 7.228 0.000
0.000 0.000 16.016
Rb Sr U I
2 2 2 12
Direct
0.000 0.000 0.000
0.000 0.000 0.500
0.333 0.667 0.250
0.667 0.333 0.750
0.333 0.667 0.750
0.667 0.333 0.250
0.014 0.376 0.635
0.014 0.639 0.865
0.361 0.376 0.865
0.361 0.986 0.635
0.376 0.014 0.135
0.376 0.361 0.365
0.624 0.639 0.635
0.624 0.986 0.865
0.639 0.014 0.365
0.639 0.624 0.135
0.986 0.361 0.135
0.986 0.624 0.365
```

Space group: P-31c
Formation energy (no corrections) (eV per atom): -1.268

Record 2
Density functional theory data (PBE) for Be2CuPb after structural relaxation.

The structure in POSCAR format:
```
Be2CuPb
1.0
2.139 -2.182 0.000
2.139 2.182 0.000
0.000 0.000 6.464
Be Cu Pb
2 1 1
Direct
0.000 0.000 0.167
0.000 0.000 0.833
0.500 0.500 0.000
0.500 0.500 0.500
```

DFT formation energy (eV per atom): 0.459
Space group: Cmmm

Record 3
Density functional theory data (PBE) for Cs3YEr2S6 after structural relaxation.

The structure in POSCAR format:
```
Cs3YEr2S6
1.0
3.538 -6.127 0.000
3.538 6.127 0.000
-2.358 0.000 8.058
Cs Y Er S
3 1 2 6
Direct
0.000 0.000 0.000
0.334 0.666 0.000
0.666 0.334 0.000
0.500 0.500 0.500
0.167 0.833 0.500
0.833 0.167 0.500
0.104 0.440 0.319
0.224 0.224 0.681
0.440 0.104 0.319
0.560 0.896 0.681
0.776 0.776 0.319
0.896 0.560 0.681
```

Space group: C2/m
Formation energy (no corrections) (eV per atom): -1.833

Record 4
Density functional theory data (PBE) for Sm9Tm4Tl11 after structural relaxation.

The structure in POSCAR format:
```
Sm9Tm4Tl11
1.0
8.872 -10.758 0.000
8.872 10.758 0.000
0.000 0.000 3.584
Sm Tm Tl
9 4 11
Direct
0.000 0.000 0.000
0.124 0.642 0.000
0.292 0.466 0.000
0.358 0.876 0.000
0.466 0.292 0.000
0.534 0.708 0.000
0.642 0.124 0.000
0.708 0.534 0.000
0.876 0.358 0.000
0.068 0.236 0.000
0.236 0.068 0.000
0.764 0.932 0.000
0.932 0.764 0.000
0.083 0.430 0.500
0.134 0.866 0.500
0.261 0.261 0.500
0.330 0.670 0.500
0.430 0.083 0.500
0.500 0.500 0.500
0.570 0.917 0.500
0.670 0.330 0.500
0.739 0.739 0.500
0.866 0.134 0.500
0.917 0.570 0.500
```

DFT formation energy (eV per atom): -0.279
Space group: Cmmm

Record 5
Density functional theory data (PBE) for Pr5TmSc after structural relaxation.

The structure in POSCAR format:
```
Pr5TmSc
1.0
5.389 0.000 0.000
0.000 5.389 0.000
0.000 0.000 8.562
Pr Tm Sc
5 1 1
Direct
0.000 0.000 0.000
0.000 0.500 0.286
0.000 0.500 0.714
0.500 0.000 0.286
0.500 0.000 0.714
0.500 0.500 0.000
0.500 0.500 0.500
```

DFT formation energy (eV per atom): 0.240
Space group: P4/mmm

Record 6
Density functional theory data (PBE) for Sm8In3Ga2 after structural relaxation.

The structure in POSCAR format:
```
Sm8In3Ga2
1.0
4.470 -7.902 0.000
4.470 7.902 0.000
0.000 0.000 5.504
Sm In Ga
8 3 2
Direct
0.108 0.892 0.000
0.162 0.411 0.500
0.309 0.691 0.000
0.411 0.162 0.500
0.589 0.838 0.500
0.691 0.309 0.000
0.838 0.589 0.500
0.892 0.108 0.000
0.000 0.000 0.500
0.327 0.327 0.000
0.673 0.673 0.000
0.225 0.775 0.500
0.775 0.225 0.500
```

DFT formation energy (eV per atom): -0.268
Space group: Cmmm

Calculated total energy readings, ordered: -3.8502, -3.3553, -5.4090, -3.8787, -4.7176, -4.2697 eV per atom